A relaxed Ac6Tl3P2S crystal, computed with PBE-GGA.

Values from the calculation:
As for the raw formation energy: -0.946 eV/atom. The calculation puts the density at 8.2 g cm⁻³. The space group is C2/m.

The structure in POSCAR format:
```
Ac6Tl3P2S
1.0
7.535 -0.003 0.001
-3.768 6.525 0.001
-1.256 -2.174 8.475
Ac Tl P S
6 3 2 1
direct
0.929 0.593 0.788 Ac
0.735 0.735 0.211 Ac
0.071 0.407 0.212 Ac
0.593 0.929 0.788 Ac
0.265 0.265 0.789 Ac
0.407 0.071 0.212 Ac
0.165 0.835 0.500 Tl
0.835 0.165 0.500 Tl
0.500 0.500 0.500 Tl
0.333 0.667 0.000 P
0.667 0.333 0.000 P
0.000 0.000 0.000 S
```

=====

A relaxed KLa2TcN crystal, computed with PBE-GGA.

Values from the calculation:
As for the raw formation energy: 0.280 eV/atom. The calculation puts the density at 5.4 g cm⁻³. The space group is P4/mmm.

The structure in POSCAR format:
```
KLa2TcN
1.0
4.992 0.000 0.000
0.000 5.251 0.000
0.000 0.000 4.992
K N Tc La
1 1 1 2
direct
0.000 0.500 0.000 K
0.000 0.000 0.000 N
0.500 0.500 0.500 Tc
0.000 0.000 0.500 La
0.500 0.000 0.000 La
```

=====

A relaxed AcTb2Y6 crystal, computed with PBE-GGA.

Values from the calculation:
The calculation puts the density at 5.9 g cm⁻³. As for the energy of formation from the pure elements: 124 meV per atom. The space group is C2/c.

The structure in POSCAR format:
```
AcTb2Y6
1.0
5.928 1.443 1.397
3.784 11.233 -1.532
3.784 -1.168 11.277
Ac Tb Y
2 4 12
direct
0.250 0.235 0.765 Ac
0.750 0.765 0.235 Ac
0.020 0.655 0.839 Tb
0.480 0.161 0.345 Tb
0.980 0.345 0.161 Tb
0.520 0.839 0.655 Tb
0.324 0.672 0.506 Y
0.176 0.494 0.328 Y
0.676 0.328 0.494 Y
0.824 0.506 0.672 Y
0.934 0.921 0.408 Y
0.566 0.592 0.079 Y
0.066 0.079 0.592 Y
0.434 0.408 0.921 Y
0.209 0.835 0.978 Y
0.291 0.022 0.165 Y
0.791 0.165 0.022 Y
0.709 0.978 0.835 Y
```

=====

A relaxed Sm3PaCo8 crystal, computed with PBE-GGA.

Values from the calculation:
The calculation puts the density at 10.5 g cm⁻³. As for the energy of formation from the pure elements: -130 meV per atom. The space group is R3m.

The structure in POSCAR format:
```
Sm3PaCo8
1.0
4.841 0.000 1.461
2.200 4.312 1.461
0.005 0.003 8.733
Sm Pa Co
3 1 8
direct
0.374 0.374 0.878 Sm
0.002 0.002 0.995 Sm
0.498 0.498 0.505 Sm
0.876 0.876 0.373 Pa
0.931 0.437 0.194 Co
0.446 0.937 0.681 Co
0.437 0.437 0.194 Co
0.937 0.937 0.681 Co
0.187 0.187 0.438 Co
0.688 0.688 0.937 Co
0.437 0.931 0.194 Co
0.937 0.446 0.681 Co
```

=====

A relaxed Tb7Hg2Pb2 crystal, computed with PBE-GGA.

Values from the calculation:
The calculation puts the density at 9.1 g cm⁻³. As for the energy of formation from the pure elements: -100 meV per atom. The space group is Cmmm.

The structure in POSCAR format:
```
Tb7Hg2Pb2
1.0
6.976 -0.003 -0.859
0.003 7.473 0.003
-1.292 -0.002 6.909
Tb Hg Pb
7 2 2
direct
0.000 0.278 0.500 Tb
0.500 0.722 0.000 Tb
0.000 0.722 0.500 Tb
0.500 0.278 0.000 Tb
0.000 0.000 0.000 Tb
0.500 0.754 0.500 Tb
0.500 0.246 0.500 Tb
0.715 0.000 0.285 Hg
0.285 0.000 0.715 Hg
0.815 0.500 0.815 Pb
0.185 0.500 0.185 Pb
```

=====

A relaxed GdMgAl4 crystal, computed with PBE-GGA.

Values from the calculation:
The calculation puts the density at 4.0 g cm⁻³. As for the energy of formation from the pure elements: -251 meV per atom. The space group is F-43m.

The structure in POSCAR format:
```
GdMgAl4
1.0
-4.614 -1.489 2.643
-0.816 -5.288 1.365
0.230 -1.552 5.294
Mg Gd Al
1 1 4
direct
0.000 0.000 0.000 Mg
0.250 0.250 0.250 Gd
0.625 0.625 0.126 Al
0.625 0.126 0.625 Al
0.625 0.625 0.625 Al
0.126 0.625 0.625 Al
```